# 1
The following is a GGA-PBE calculation of a geometry-optimized PtPb structure, from OQMD.

Computed properties:
E, eV/cell: -20.5

abc: 4.3511 4.3511 5.5517
angles: 90.00 90.00 120.00
With the nearest neighbours (Å) after each atom.
Atoms (fractional coordinates):
Pt 0.0000 0.0000 0.0000  2 Pt 2.78, 6 Pb 2.87
Pt 0.0000 0.0000 0.5000  2 Pt 2.78, 6 Pb 2.87
Pb 0.3333 0.6667 0.2500  6 Pt 2.87
Pb 0.6667 0.3333 0.7500  6 Pt 2.87



# 2
The following is a GGA-PBE calculation of a geometry-optimized RbPt2Pb2 structure, from OQMD.

Computed properties:
E, eV/cell: -21.4

abc: 6.6256 6.6256 6.6256
angles: 136.76 136.76 62.80
With the nearest neighbours (Å) after each atom.
Atoms (fractional coordinates):
Rb 0.0000 0.0000 0.0000  8 Pt 3.70, 8 Pb 3.74
Pt 0.3820 0.3820 0.0000  1 Pt 2.67, 4 Pb 2.86
Pt 0.6180 0.6180 0.0000  1 Pt 2.67, 4 Pb 2.86
Pb 0.2500 0.7500 0.5000  4 Pt 2.86
Pb 0.7500 0.2500 0.5000  4 Pt 2.86



# 3
The following is a GGA-PBE calculation of a geometry-optimized RbPtPb structure, from OQMD.

Computed properties:
Relative energy among the computed polymorphs, meV/atom: 712

abc: 5.2273 5.2273 5.2273
angles: 60.00 60.00 60.00
With the nearest neighbours (Å) after each atom.
Atoms (fractional coordinates):
Rb 0.0000 0.0000 0.0000  4 Pb 3.20, 4 Pt 3.20
Pt 0.2500 0.2500 0.2500  4 Rb 3.20
Pb 0.7500 0.7500 0.7500  4 Rb 3.20



# 4
The following is a GGA-PBE calculation of a geometry-optimized RbPtPb structure, from OQMD.

Computed properties:
Relative energy among the computed polymorphs, meV/atom: 0

abc: 5.1066 5.1066 5.1066
angles: 60.00 60.00 60.00
With the nearest neighbours (Å) after each atom.
Atoms (fractional coordinates):
Rb 0.0000 0.0000 0.0000  4 Pt 3.13
Pt 0.7500 0.7500 0.7500  4 Rb 3.13, 4 Pb 3.13
Pb 0.5000 0.5000 0.5000  4 Pt 3.13



Calculated total moment (μB per cell), listed in the same order as above: 0.00; 0.01; 0.08; 0.00